Entry from Alexandria: CaCo2 at its PBEsol-relaxed geometry (meta-GGA SCAN).

It has space group P-3m1 (No. 164), with a = 3.8223 Å, b = 3.8223 Å, c = 9.2336 Å, α = 90.00°, β = 90.00° and γ = 120.00°. Symmetry generates all atoms from Ca at (0.3333, 0.6667, 0.3068), Co at (0.0000, 0.0000, 0.1191) and Co at (0.3333, 0.6667, 0.9421).

The value obtained for the density of states at the Fermi level is 1.119 states/eV per atom. As for the total moment: 3.31 μB per formula unit. The calculation puts the final energy at -14.53 eV per atom.